12
Lattice="3.3566 -5.8408 0.0000 3.3566 5.8408 0.0000 -2.2446 0.0000 6.3503" Properties=species:S:1:pos:R:3 comment="GGA-PBE Dy3HoEr2S6, optimized geometry" e_form_raw_ev_per_atom=-1.9808 n_ef_per_ev_cell=4.80 pbc="T T T"
Dy 0.0000 0.0000 0.0000
Dy 3.3566 1.9405 0.0000
Dy 3.3566 -1.9405 0.0000
Ho 2.2343 0.0000 3.1751
Er 2.2343 3.8953 3.1751
Er 2.2343 -3.8953 3.1751
S 1.1134 1.9541 1.6078
S -0.0132 0.0000 4.7405
S 1.1134 -1.9541 1.6078
S 3.3551 1.9541 4.7425
S 4.4817 0.0000 1.6097
S 3.3551 -1.9541 4.7425

14
Lattice="3.9933 2.3055 6.5271 -3.9933 2.3055 6.5271 0.0000 -4.6111 6.5271" Properties=species:S:1:pos:R:3 comment="GGA-PBE DyHoEr4S8, optimized geometry" e_form_raw_ev_per_atom=-1.9264 n_ef_per_ev_cell=8.31 pbc="T T T"
Dy 0.0000 0.0000 0.0000
Ho 0.0000 0.0000 7.3401
Er 0.0000 -2.3020 10.6005
Er -1.9936 1.1510 10.6005
Er 0.0000 0.0000 14.6797
Er 1.9936 1.1510 10.6005
S 0.0000 -2.1585 5.6436
S -1.8693 1.0792 5.6436
S 0.0000 0.0000 2.6111
S -1.8836 -1.0875 9.0255
S 1.8693 1.0792 5.6436
S 0.0000 0.0000 12.0869
S 1.8836 -1.0875 9.0255
S 0.0000 2.1749 9.0255

15
Lattice="3.8674 2.2328 6.3206 -3.8674 2.2328 6.3206 0.0000 -4.4657 6.3206" Properties=species:S:1:pos:R:3 comment="GGA-PBE DyHo3Er3S8, optimized geometry" e_form_raw_ev_per_atom=-2.0348 n_ef_per_ev_cell=5.96 pbc="T T T"
Dy 0.0000 0.0000 0.0000
Ho -3.8674 0.0000 9.4809
Ho -1.9337 1.1164 3.1603
Ho 1.9337 1.1164 3.1603
Er -1.9337 -1.1164 6.3206
Er -1.9337 1.1164 12.6412
Er 0.0000 2.2328 6.3206
S 0.0000 0.0000 4.7517
S 0.0000 -2.2068 7.9076
S -1.9112 1.1034 7.9076
S -1.9112 -1.1034 11.0542
S 1.9112 1.1034 7.9076
S 1.9112 -1.1034 11.0542
S 0.0000 2.2068 11.0542
S 0.0000 0.0000 14.2101

10
Lattice="3.4379 1.9849 6.1506 -3.4379 1.9849 6.1506 0.0000 -3.9697 6.1506" Properties=species:S:1:pos:R:3 comment="GGA-PBE DyHo2ErS6, optimized geometry" e_form_raw_ev_per_atom=-2.0629 n_ef_per_ev_cell=0.00 pbc="T T T"
Dy 0.0000 0.0000 0.0000
Ho 0.0000 0.0000 5.5131
Ho 0.0000 0.0000 14.7506
Er 0.0000 0.0000 9.2083
S -2.0626 -0.0104 7.3699
S -1.3592 -1.9762 10.4403
S 1.0403 -1.7811 7.3699
S -1.0318 2.1651 10.4403
S 1.0223 1.7915 7.3699
S 2.3910 -0.1890 10.4403

Calculated volume per entry: 249 361 327 252 Å³/f.u.
M_tot per entry: 0.000 0.000 0.000 0.000 Bohr magnetons per cell